Density functional theory data (SCAN) for a PBEsol-optimized structure of CeSnAu.

ΔE_f ... -0.90 eV per atom
Total magnetization ... 2.266 μB/cell
E_tot ... -50.78 eV per atom

extended XYZ file:
```
6
Lattice="4.705 0.000 0.000 -2.352 4.074 0.000 0.000 0.000 7.444" Properties=species:S:1:pos:R:3 pbc="T T T"
Ce 0.000 0.000 0.000
Ce 0.000 0.000 3.722
Sn 0.000 2.716 1.861
Sn 2.352 1.358 5.583
Au 0.000 2.716 5.583
Au 2.352 1.358 1.861
```